## TaHgSe2 (PBE)

Data for a relaxed TaHgSe2 crystal.

## Properties
The energy relative to the elements, uncorrected is 0.3600 eV per atom. Its space group is Cmmm, No. 65. The calculation puts the calculated volume at 78.52 Å³/cell.

CIF file:
```
data_TaHgSe2
_chemical_formula_sum 'Ta1 Hg1 Se2'
_cell_length_a 4.8320
_cell_length_b 4.8320
_cell_length_c 3.3664
_cell_angle_alpha 90.00
_cell_angle_beta 90.00
_cell_angle_gamma 92.52
_space_group_name_H-M_alt 'P 1'
_space_group_IT_number 1
loop_
_space_group_symop_operation_xyz
'x,y,z'
loop_
_atom_site_label
_atom_site_fract_x
_atom_site_fract_y
_atom_site_fract_z
Se1 0.5000 0.5000 0.0000
Se2 0.0000 0.0000 0.0000
Hg1 0.0000 0.5000 0.5000
Ta1 0.5000 0.0000 0.5000
```

---

## TaHg2Se (PBE)

Data for a relaxed TaHg2Se crystal.

## Properties
The energy relative to the elements, uncorrected is 0.4937 eV per atom. Its space group is I4/mmm, No. 139. The calculation puts the calculated volume at 83.92 Å³/cell.

CIF file:
```
data_TaHg2Se
_chemical_formula_sum 'Ta1 Hg2 Se1'
_cell_length_a 6.1221
_cell_length_b 6.1221
_cell_length_c 6.1221
_cell_angle_alpha 142.65
_cell_angle_beta 142.65
_cell_angle_gamma 53.86
_space_group_name_H-M_alt 'P 1'
_space_group_IT_number 1
loop_
_space_group_symop_operation_xyz
'x,y,z'
loop_
_atom_site_label
_atom_site_fract_x
_atom_site_fract_y
_atom_site_fract_z
Hg1 0.0000 0.0000 0.0000
Ta1 0.7500 0.2500 0.5000
Se1 0.2500 0.7500 0.5000
Hg2 0.5000 0.5000 0.0000
```

---

## Ta4Hg2Se7 (PBE)

Data for a relaxed Ta4Hg2Se7 crystal.

## Properties
The energy relative to the elements, uncorrected is -0.3568 eV per atom. Its space group is C2/m, No. 12. The calculation puts the calculated volume at 300.91 Å³/cell.

CIF file:
```
data_Ta4Hg2Se7
_chemical_formula_sum 'Ta4 Hg2 Se7'
_cell_length_a 6.3677
_cell_length_b 6.8952
_cell_length_c 8.1578
_cell_angle_alpha 87.77
_cell_angle_beta 91.21
_cell_angle_gamma 122.78
_space_group_name_H-M_alt 'P 1'
_space_group_IT_number 1
loop_
_space_group_symop_operation_xyz
'x,y,z'
loop_
_atom_site_label
_atom_site_fract_x
_atom_site_fract_y
_atom_site_fract_z
Ta1 0.4378 0.7189 0.5000
Ta2 0.0000 0.9537 0.3232
Hg1 0.7309 0.3655 0.0000
Ta3 0.0000 0.0463 0.6768
Se1 0.0000 0.3079 0.4139
Hg2 0.2691 0.6345 0.0000
Se2 0.4098 0.4291 0.7282
Se3 0.0000 0.0000 0.0000
Se4 0.5902 0.5709 0.2718
Se5 0.4098 0.9807 0.2718
Se6 0.0000 0.6921 0.5861
Se7 0.5902 0.0193 0.7282
Ta4 0.5622 0.2811 0.5000
```

---

## TaHg2Se (PBE)

Data for a relaxed TaHg2Se crystal.

## Properties
The energy relative to the elements, uncorrected is 0.1051 eV per atom. Its space group is Cmm2, No. 35. The calculation puts the calculated volume at 95.90 Å³/cell.

CIF file:
```
data_TaHg2Se
_chemical_formula_sum 'Ta1 Hg2 Se1'
_cell_length_a 3.0909
_cell_length_b 3.0909
_cell_length_c 10.9801
_cell_angle_alpha 90.00
_cell_angle_beta 90.00
_cell_angle_gamma 113.90
_space_group_name_H-M_alt 'P 1'
_space_group_IT_number 1
loop_
_space_group_symop_operation_xyz
'x,y,z'
loop_
_atom_site_label
_atom_site_fract_x
_atom_site_fract_y
_atom_site_fract_z
Ta1 0.5000 0.5000 0.7396
Se1 0.0000 0.0000 0.5655
Hg1 0.0000 0.0000 0.9611
Hg2 0.5000 0.5000 0.2338
```

---

no.,spin magnetization (μB/f.u.)
1,0.00
2,0.01
3,0.00
4,0.00